*one*
First-principles (PBE) data for a relaxed structure of GeBiSbTe2, as listed in the Alexandria database.

- DOS(E_F): 3.44 states/eV/f.u.
- Spin magnetization: 0.00 Bohr magnetons per cell

a b c (Å): 5.3774 5.3774 5.4124
angles (deg): 90.00 90.00 90.00
Last column: nearest neighbours and their distance in Å.
Fractional coordinates of all 5 atoms:
Sb: 0.0000 0.0000 0.5000  2 Ge 2.71
Ge: 0.0000 0.0000 0.0000  4 Te 2.69, 2 Sb 2.71
Te: 0.0000 0.5000 0.0000  2 Ge 2.69
Te: 0.5000 0.0000 0.0000  2 Ge 2.69
Bi: 0.5000 0.5000 0.5000  4 Sb 3.80, 8 Te 3.81



*two*
First-principles (PBE) data for a relaxed structure of GeBiSbTe2, as listed in the Alexandria database.

- DOS(E_F): 5.78 states/eV/f.u.
- Spin magnetization: 0.00 Bohr magnetons per cell

a b c (Å): 5.8790 5.8093 5.8790
angles (deg): 90.00 90.00 90.00
Last column: nearest neighbours and their distance in Å.
Fractional coordinates of all 5 atoms:
Sb: 0.0000 0.5000 0.0000  2 Bi 2.90
Ge: 0.5000 0.5000 0.5000  8 Te 4.13, 4 Sb 4.16
Te: 0.0000 0.0000 0.5000  2 Bi 2.94
Te: 0.5000 0.0000 0.0000  2 Bi 2.94
Bi: 0.0000 0.0000 0.0000  2 Sb 2.90, 4 Te 2.94



Which of them is the most stable, and which is the least stable? *one* and *two*, in that order.



*one*
First-principles (PBE) data for a relaxed structure of Sc2GeBi, as listed in the Alexandria database.

- DOS(E_F): 1.58 states/eV/f.u.
- Spin magnetization: 0.00 Bohr magnetons per cell

a b c (Å): 9.0053 9.0053 9.0053
angles (deg): 25.10 25.10 25.10
Last column: nearest neighbours and their distance in Å.
Fractional coordinates of all 4 atoms:
Sc: 0.8871 0.8871 0.8871  3 Ge 2.66, 1 Bi 2.95
Sc: 0.1129 0.1129 0.1129  3 Ge 2.66, 1 Bi 2.95
Ge: 0.5000 0.5000 0.5000  6 Sc 2.66
Bi: 0.0000 0.0000 0.0000  2 Sc 2.95



*two*
First-principles (PBE) data for a relaxed structure of Sc2GeBi, as listed in the Alexandria database.

- DOS(E_F): 6.76 states/eV/f.u.
- Spin magnetization: 0.00 Bohr magnetons per cell

a b c (Å): 5.0553 5.0553 5.0553
angles (deg): 60.00 60.00 60.00
Last column: nearest neighbours and their distance in Å.
Fractional coordinates of all 4 atoms:
Sc: 0.2500 0.2500 0.2500  4 Bi 3.10, 4 Ge 3.10
Sc: 0.7500 0.7500 0.7500  4 Bi 3.10, 4 Ge 3.10
Ge: 0.0000 0.0000 0.0000  8 Sc 3.10
Bi: 0.5000 0.5000 0.5000  8 Sc 3.10



Which of them is the most stable, and which is the least stable? *two* and *one*, in that order.



*one*
First-principles (PBE) data for a relaxed structure of Sc2GeBi, as listed in the Alexandria database.

- DOS(E_F): 2.83 states/eV/f.u.
- Spin magnetization: 0.00 Bohr magnetons per cell

a b c (Å): 9.3260 9.3260 9.3260
angles (deg): 24.39 24.39 24.39
Last column: nearest neighbours and their distance in Å.
Fractional coordinates of all 4 atoms:
Sc: 0.9014 0.9014 0.9014  1 Ge 2.68, 3 Bi 2.93
Sc: 0.0986 0.0986 0.0986  1 Ge 2.68, 3 Bi 2.93
Ge: 0.0000 0.0000 0.0000  2 Sc 2.68
Bi: 0.5000 0.5000 0.5000  6 Sc 2.93



*two*
First-principles (PBE) data for a relaxed structure of Sc2GeBi, as listed in the Alexandria database.

- DOS(E_F): 2.00 states/eV/f.u.
- Spin magnetization: 0.00 Bohr magnetons per cell

a b c (Å): 4.3464 4.3464 6.4956
angles (deg): 70.45 70.45 60.00
Last column: nearest neighbours and their distance in Å.
Fractional coordinates of all 4 atoms:
Sc: 0.0698 0.0698 0.7906  3 Ge 2.81, 3 Bi 3.04
Sc: 0.2662 0.2662 0.2014  3 Ge 2.78, 3 Bi 3.10
Ge: 0.6657 0.6657 0.0030  6 Sc 2.78-2.81, 1 Bi 3.01
Bi: 0.4983 0.4983 0.5051  1 Ge 3.01, 6 Sc 3.04-3.10



Which of them is the most stable, and which is the least stable? *two* and *one*, in that order.



*one*
First-principles (PBE) data for a relaxed structure of Sc2GeBi2, as listed in the Alexandria database.

- DOS(E_F): 2.20 states/eV/f.u.
- Spin magnetization: 0.83 Bohr magnetons per cell

a b c (Å): 8.1085 8.1085 3.9624
angles (deg): 90.00 90.00 90.00
Last column: nearest neighbours and their distance in Å.
Fractional coordinates of all 10 atoms:
Sc: 0.1438 0.6438 0.5000  6 Bi 3.03-3.14, 1 Sc 3.30
Sc: 0.6438 0.8562 0.5000  6 Bi 3.03-3.14, 1 Sc 3.30
Sc: 0.8562 0.3562 0.5000  6 Bi 3.03-3.14, 1 Sc 3.30
Sc: 0.3562 0.1438 0.5000  6 Bi 3.03-3.14, 1 Sc 3.30
Ge: 0.0000 0.0000 0.0000  4 Bi 3.06
Ge: 0.5000 0.5000 0.0000  4 Bi 3.06
Bi: 0.3438 0.8438 0.0000  6 Sc 3.03-3.14, 2 Ge 3.06
Bi: 0.8438 0.6562 0.0000  6 Sc 3.03-3.14, 2 Ge 3.06
Bi: 0.6562 0.1562 0.0000  6 Sc 3.03-3.14, 2 Ge 3.06
Bi: 0.1562 0.3438 0.0000  6 Sc 3.03-3.14, 2 Ge 3.06



*two*
First-principles (PBE) data for a relaxed structure of Sc2GeBi2, as listed in the Alexandria database.

- DOS(E_F): 3.21 states/eV/f.u.
- Spin magnetization: 0.00 Bohr magnetons per cell

a b c (Å): 7.4404 7.4404 4.4730
angles (deg): 90.00 90.00 90.00
Last column: nearest neighbours and their distance in Å.
Fractional coordinates of all 10 atoms:
Sc: 0.3424 0.8424 0.0000  2 Ge 2.80, 2 Bi 2.95
Sc: 0.8424 0.6576 0.0000  2 Ge 2.80, 2 Bi 2.95
Sc: 0.6576 0.1576 0.0000  2 Ge 2.80, 2 Bi 2.95
Sc: 0.1576 0.3424 0.0000  2 Ge 2.80, 2 Bi 2.95
Ge: 0.0000 0.0000 0.0000  4 Sc 2.80
Ge: 0.5000 0.5000 0.0000  4 Sc 2.80
Bi: 0.1599 0.6599 0.5000  6 Sc 2.95-3.25
Bi: 0.6599 0.8401 0.5000  6 Sc 2.95-3.25
Bi: 0.8401 0.3401 0.5000  6 Sc 2.95-3.25
Bi: 0.3401 0.1599 0.5000  6 Sc 2.95-3.25



Which of them is the most stable, and which is the least stable? *two* and *one*, in that order.



*one*
First-principles (PBE) data for a relaxed structure of Sc2Ge2Bi, as listed in the Alexandria database.

- DOS(E_F): 2.92 states/eV/f.u.
- Spin magnetization: 0.00 Bohr magnetons per cell

a b c (Å): 7.5212 7.5212 3.8538
angles (deg): 90.00 90.00 90.00
Last column: nearest neighbours and their distance in Å.
Fractional coordinates of all 10 atoms:
Sc: 0.1758 0.6758 0.5000  6 Ge 2.91-2.97
Sc: 0.6758 0.8242 0.5000  6 Ge 2.91-2.97
Sc: 0.8242 0.3242 0.5000  6 Ge 2.91-2.97
Sc: 0.3242 0.1758 0.5000  6 Ge 2.91-2.97
Ge: 0.3806 0.8806 0.0000  1 Ge 2.54
Ge: 0.8806 0.6194 0.0000  1 Ge 2.54
Ge: 0.6194 0.1194 0.0000  1 Ge 2.54
Ge: 0.1194 0.3806 0.0000  1 Ge 2.54
Bi: 0.0000 0.0000 0.0000  4 Ge 3.00
Bi: 0.5000 0.5000 0.0000  4 Ge 3.00



*two*
First-principles (PBE) data for a relaxed structure of Sc2Ge2Bi, as listed in the Alexandria database.

- DOS(E_F): 3.75 states/eV/f.u.
- Spin magnetization: 0.00 Bohr magnetons per cell

a b c (Å): 4.8091 4.8091 6.1704
angles (deg): 67.06 67.06 90.00
Last column: nearest neighbours and their distance in Å.
Fractional coordinates of all 5 atoms:
Sc: 0.7500 0.2500 0.5000  4 Ge 2.76
Sc: 0.2500 0.7500 0.5000  4 Ge 2.76
Ge: 0.3819 0.3819 0.2363  1 Ge 2.43
Ge: 0.6181 0.6181 0.7637  1 Ge 2.43
Bi: 0.0000 0.0000 0.0000  8 Sc 3.52, 10 Ge 3.61-3.93



Which of them is the most stable, and which is the least stable? *one* and *two*, in that order.



*one*
First-principles (PBE) data for a relaxed structure of Sc2Ge2Bi, as listed in the Alexandria database.

- DOS(E_F): 2.43 states/eV/f.u.
- Spin magnetization: 0.00 Bohr magnetons per cell

a b c (Å): 3.7853 3.7853 8.2537
angles (deg): 76.74 76.74 90.00
Last column: nearest neighbours and their distance in Å.
Fractional coordinates of all 5 atoms:
Sc: 0.3864 0.3864 0.2271  4 Ge 2.85
Sc: 0.6136 0.6136 0.7729  4 Ge 2.85
Ge: 0.7500 0.2500 0.5000  4 Ge 2.68, 4 Sc 2.85
Ge: 0.2500 0.7500 0.5000  4 Ge 2.68, 4 Sc 2.85
Bi: 0.0000 0.0000 0.0000  8 Sc 3.21



*two*
First-principles (PBE) data for a relaxed structure of Sc2Ge2Bi, as listed in the Alexandria database.

- DOS(E_F): 4.24 states/eV/f.u.
- Spin magnetization: 0.00 Bohr magnetons per cell

a b c (Å): 7.9632 7.9632 3.4598
angles (deg): 90.00 90.00 90.00
Last column: nearest neighbours and their distance in Å.
Fractional coordinates of all 10 atoms:
Sc: 0.3615 0.8615 0.0000  6 Ge 2.79-2.99, 2 Bi 3.08, 1 Sc 3.12
Sc: 0.8615 0.6385 0.0000  6 Ge 2.79-2.99, 2 Bi 3.08, 1 Sc 3.12
Sc: 0.6385 0.1385 0.0000  6 Ge 2.79-2.99, 2 Bi 3.08, 1 Sc 3.12
Sc: 0.1385 0.3615 0.0000  6 Ge 2.79-2.99, 2 Bi 3.08, 1 Sc 3.12
Ge: 0.1665 0.6665 0.5000  6 Sc 2.79-2.99
Ge: 0.6665 0.8335 0.5000  6 Sc 2.79-2.99
Ge: 0.8335 0.3335 0.5000  6 Sc 2.79-2.99
Ge: 0.3335 0.1665 0.5000  6 Sc 2.79-2.99
Bi: 0.0000 0.0000 0.0000  4 Sc 3.08, 8 Ge 3.44
Bi: 0.5000 0.5000 0.0000  4 Sc 3.08, 8 Ge 3.44



Which of them is the most stable, and which is the least stable? *one* and *two*, in that order.